1.
Density functional theory data (PBE) for a geometry-optimized TaCo2Pt structure.

Lattice parameters (Å, degrees): 9.107 9.107 9.107 156.34 156.34 33.70
Fractional coordinates of all 8 atoms:
Ta 0.000 0.000 0.000
Ta 0.750 0.250 0.500
Co 0.155 0.625 0.030
Co 0.375 0.405 0.530
Co 0.595 0.125 0.970
Co 0.875 0.845 0.470
Pt 0.250 0.750 0.500
Pt 0.500 0.500 0.000

Calculated values
- magnetic moment (μB/atom) = 0.430
- VASP energy (eV per atom) = -7.820
- calculated volume (Å³ per cell) = 121.48
- energy of formation from the pure elements (eV per atom) = 0.207

---

2.
Density functional theory data (PBE) for a geometry-optimized Ta2CoPt2 structure.

Lattice parameters (Å, degrees): 7.155 7.155 7.155 150.31 150.31 42.49
Fractional coordinates of all 5 atoms:
Ta 0.100 0.100 0.000
Ta 0.900 0.900 0.000
Co 0.500 0.500 0.000
Pt 0.250 0.750 0.500
Pt 0.750 0.250 0.500

Calculated values
- magnetic moment (μB/atom) = 0.236
- VASP energy (eV per atom) = -8.331
- calculated volume (Å³ per cell) = 89.66
- energy of formation from the pure elements (eV per atom) = 0.247

---

3.
Density functional theory data (PBE) for a geometry-optimized TaCo2Pt structure.

Lattice parameters (Å, degrees): 4.682 4.682 4.682 132.70 132.70 69.13
Fractional coordinates of all 4 atoms:
Ta 0.000 0.000 0.000
Co 0.250 0.750 0.500
Co 0.500 0.500 0.000
Pt 0.750 0.250 0.500

Calculated values
- magnetic moment (μB/atom) = 0.438
- VASP energy (eV per atom) = -8.411
- calculated volume (Å³ per cell) = 54.39
- energy of formation from the pure elements (eV per atom) = -0.385

---

4.
Density functional theory data (PBE) for a geometry-optimized TaCo2Pt structure.

Lattice parameters (Å, degrees): 8.809 8.809 8.809 17.98 17.98 17.98
Fractional coordinates of all 4 atoms:
Ta 0.000 0.000 0.000
Co 0.491 0.491 0.491
Co 0.754 0.754 0.754
Pt 0.243 0.243 0.243

Calculated values
- magnetic moment (μB/atom) = 0.762
- VASP energy (eV per atom) = -8.005
- calculated volume (Å³ per cell) = 56.88
- energy of formation from the pure elements (eV per atom) = 0.021

---

Q: Which of these has the lowest calculated volume?
A: number 3

---

Q: Among the records above, which one has the highest calculated volume?
A: number 1